{"formula": "BeP2F", "functional": "PBE-GGA", "state": "optimized geometry", "lattice": [[5.713, 0.000, 0.000], [0.000, 5.713, 0.000], [0.000, 0.000, 5.713]], "species": ["Be", "Be", "Be", "Be", "P", "P", "P", "P", "P", "P", "P", "P", "F", "F", "F", "F"], "fractional_positions": [[0.000, 0.000, 0.000], [0.000, 0.500, 0.500], [0.500, 0.000, 0.500], [0.500, 0.500, 0.000], [0.250, 0.250, 0.250], [0.250, 0.250, 0.750], [0.250, 0.750, 0.250], [0.250, 0.750, 0.750], [0.750, 0.250, 0.250], [0.750, 0.250, 0.750], [0.750, 0.750, 0.250], [0.750, 0.750, 0.750], [0.000, 0.000, 0.500], [0.000, 0.500, 0.000], [0.500, 0.000, 0.000], [0.500, 0.500, 0.500]], "e_above_lowest_polymorph_mev_per_atom": 199, "total_magnetization_mub_per_fu": 0.000, "final_energy_ev_per_fu": -16.21, "spacegroup": "Fm-3m (225)", "e_form_raw_ev_per_atom": 0.052, "vol_a3_per_atom": 11.653, "rho_g_cm3": 3.20}